# LiHfIN2 PBE relaxed
data_LiHfIN2
_cell_length_a 4.1274
_cell_length_b 4.1274
_cell_length_c 6.1599
_cell_angle_alpha 90.00
_cell_angle_beta 90.00
_cell_angle_gamma 90.00
_space_group_name_H-M_alt 'P 4/m m m'
_space_group_IT_number 123
_space_group_name_Hall '-P 4 2'
loop_
_atom_site_label
_atom_site_type_symbol
_atom_site_fract_x
_atom_site_fract_y
_atom_site_fract_z
_atom_site_occupancy
Li1 Li 0.0000 0.0000 0.0000 1
Hf1 Hf 0.5000 0.5000 0.5000 1
I1 I 0.5000 0.5000 0.0000 1
N1 N 0.0000 0.5000 0.5000 1
# * energy relative to the lowest polymorph listed for this composition: 0 kJ/mol of formula units
# * magnetic moment: 0.3 μB per formula unit
# * mass density: 5.4 g/cm³
# * ΔE_f (raw): -13.4 kJ/mol of atoms
# * V: 20.99 A^3/atom
# * raw total energy: -6.153 eV per atom